A relaxed structure of ZrNiOs2, computed with PBE.

CIF file:
```
data_ZrNiOs2
_chemical_formula_sum 'Zr2 Ni2 Os4'
_cell_length_a 9.4441
_cell_length_b 9.4441
_cell_length_c 9.4441
_cell_angle_alpha 156.23
_cell_angle_beta 156.23
_cell_angle_gamma 33.87
_space_group_name_H-M_alt 'P 1'
_space_group_IT_number 1
loop_
_space_group_symop_operation_xyz
'x,y,z'
loop_
_atom_site_label
_atom_site_type_symbol
_atom_site_fract_x
_atom_site_fract_y
_atom_site_fract_z
_atom_site_occupancy
Zr1 Zr 0.0000 0.0000 0.0000 1
Zr2 Zr 0.7500 0.2500 0.5000 1
Ni1 Ni 0.2500 0.7500 0.5000 1
Ni2 Ni 0.5000 0.5000 0.0000 1
Os1 Os 0.1889 0.6250 0.0639 1
Os2 Os 0.3750 0.4389 0.5639 1
Os3 Os 0.5611 0.1250 0.9361 1
Os4 Os 0.8750 0.8111 0.4361 1
```

Calculated values
ΔE_f (eV/atom): 0.33
Energy relative to the lowest polymorph listed for this composition (meV per atom): 455.7
Energy (eV/atom): -8.86
Density (Mg/m³): 12.88